Here is BaFeAg2Au after structural relaxation from Alexandria. Energies are from PBE.

size of the total moment = 0.58 μB per atom
formation energy from the elements = 0.1223 eV/atom
space-group type = No. 123

a = 5.069 Å, b = 5.069 Å, c = 5.059 Å
α = 90.00°, β = 90.00°, γ = 90.00°
Sites, in units of the cell vectors:
Ba 0.000 0.000 0.000
Fe 0.500 0.500 0.500
Ag 0.000 0.500 0.500
Ag 0.500 0.000 0.500
Au 0.500 0.500 0.000

---

Here is PIrPb2 after structural relaxation from Alexandria. Energies are from PBE.

size of the total moment = 0.00 μB per atom
formation energy from the elements = 0.5952 eV/atom
space-group type = No. 71

a = 5.217 Å, b = 5.217 Å, c = 5.217 Å
α = 128.76°, β = 127.00°, γ = 76.82°
Sites, in units of the cell vectors:
P 0.000 0.000 0.000
Ir 0.500 0.500 0.000
Pb 0.252 0.752 0.500
Pb 0.748 0.248 0.500

---

Here is La8CdPd2 after structural relaxation from Alexandria. Energies are from PBE.

size of the total moment = 0.00 μB per atom
formation energy from the elements = -0.3388 eV/atom
space-group type = No. 12

a = 9.941 Å, b = 9.941 Å, c = 7.116 Å
α = 108.89°, β = 108.89°, γ = 31.75°
Sites, in units of the cell vectors:
La 0.026 0.026 0.273
La 0.197 0.197 0.843
La 0.322 0.322 0.485
La 0.408 0.408 0.014
La 0.592 0.592 0.986
La 0.678 0.678 0.515
La 0.803 0.803 0.157
La 0.974 0.974 0.727
Cd 0.500 0.500 0.500
Pd 0.169 0.169 0.239
Pd 0.831 0.831 0.761

---

Here is TiI3 after structural relaxation from Alexandria. Energies are from PBE.

formation energy from raw total energies = -0.78 eV/atom
size of the total moment = 0.10 μB per atom
space-group type = No. 193

a = 7.757 Å, b = 7.757 Å, c = 6.507 Å
α = 90.00°, β = 90.00°, γ = 120.00°
Sites, in units of the cell vectors:
Ti 0.000 0.000 0.000
Ti 0.000 0.000 0.500
I 0.000 0.293 0.250
I 0.000 0.707 0.750
I 0.293 0.000 0.250
I 0.293 0.293 0.750
I 0.707 0.000 0.750
I 0.707 0.707 0.250

---

Here is TlHg2H2 after structural relaxation from Alexandria. Energies are from PBE.

size of the total moment = 0.00 μB per atom
space-group type = No. 139
excess energy over the best structure of this formula in the dataset = 0.343 eV/atom

a = 6.638 Å, b = 6.638 Å, c = 6.638 Å
α = 145.61°, β = 145.61°, γ = 49.42°
Sites, in units of the cell vectors:
Tl 0.000 0.000 0.000
Hg 0.341 0.341 0.000
Hg 0.659 0.659 0.000
H 0.250 0.750 0.500
H 0.750 0.250 0.500

---

Here is K4Rb5Na3 after structural relaxation from Alexandria. Energies are from PBE.

size of the total moment = 0.00 μB per atom
formation energy from the elements = 0.0774 eV/atom
space-group type = No. 12
excess energy over the best structure of this formula in the dataset = 0.030 eV/atom

a = 10.391 Å, b = 10.391 Å, c = 14.128 Å
α = 119.60°, β = 119.60°, γ = 43.57°
Sites, in units of the cell vectors:
K 0.056 0.056 0.359
K 0.301 0.301 0.662
K 0.699 0.699 0.338
K 0.944 0.944 0.641
Rb 0.193 0.193 0.921
Rb 0.327 0.327 0.366
Rb 0.500 0.500 0.000
Rb 0.673 0.673 0.634
Rb 0.807 0.807 0.079
Na 0.000 0.000 0.000
Na 0.462 0.462 0.243
Na 0.538 0.538 0.757

---

Here is CuHgSeN2 after structural relaxation from Alexandria. Energies are from PBE.

formation energy from raw total energies = 1.40 eV/atom
size of the total moment = 0.73 μB per atom
space-group type = No. 123
excess energy over the best structure of this formula in the dataset = 0.000 eV/atom

a = 3.841 Å, b = 3.841 Å, c = 6.063 Å
α = 90.00°, β = 90.00°, γ = 90.00°
Sites, in units of the cell vectors:
Cu 0.000 0.000 0.000
Hg 0.500 0.500 0.500
Se 0.000 0.000 0.500
N 0.000 0.500 0.000
N 0.500 0.000 0.000

---

Here is NaIn3Pb2 after structural relaxation from Alexandria. Energies are from PBE.

size of the total moment = 0.00 μB per atom
formation energy from the elements = 0.0191 eV/atom
space-group type = No. 36
excess energy over the best structure of this formula in the dataset = 0.018 eV/atom

a = 8.572 Å, b = 8.572 Å, c = 5.313 Å
α = 90.00°, β = 90.00°, γ = 74.13°
Sites, in units of the cell vectors:
Na 0.234 0.766 0.500
Na 0.766 0.234 0.000
In 0.157 0.404 0.997
In 0.404 0.157 0.497
In 0.434 0.566 0.001
In 0.566 0.434 0.501
In 0.596 0.843 0.997
In 0.843 0.596 0.497
Pb 0.024 0.222 0.499
Pb 0.222 0.024 0.999
Pb 0.778 0.976 0.499
Pb 0.976 0.778 0.999

---

Here is RbTePbN2 after structural relaxation from Alexandria. Energies are from PBE.

formation energy from raw total energies = 1.18 eV/atom
size of the total moment = 0.74 μB per atom
space-group type = No. 123
excess energy over the best structure of this formula in the dataset = 0.000 eV/atom

a = 4.967 Å, b = 4.967 Å, c = 6.049 Å
α = 90.00°, β = 90.00°, γ = 90.00°
Sites, in units of the cell vectors:
Rb 0.000 0.000 0.000
Te 0.500 0.500 0.000
Pb 0.500 0.500 0.500
N 0.000 0.500 0.500
N 0.500 0.000 0.500

---

Here is MgSc4ZnIr2 after structural relaxation from Alexandria. Energies are from PBE.

size of the total moment = 0.00 μB per atom
formation energy from the elements = -0.6464 eV/atom
space-group type = No. 166

a = 8.132 Å, b = 8.132 Å, c = 8.132 Å
α = 33.44°, β = 33.44°, γ = 33.44°
Sites, in units of the cell vectors:
Mg 0.000 0.000 0.000
Sc 0.128 0.128 0.128
Sc 0.378 0.378 0.378
Sc 0.622 0.622 0.622
Sc 0.872 0.872 0.872
Zn 0.500 0.500 0.500
Ir 0.252 0.252 0.252
Ir 0.748 0.748 0.748

---

Here is KTlCd2Pd after structural relaxation from Alexandria. Energies are from PBE.

size of the total moment = 0.00 μB per atom
formation energy from the elements = -0.1598 eV/atom
space-group type = No. 123

a = 5.346 Å, b = 5.346 Å, c = 5.325 Å
α = 90.00°, β = 90.00°, γ = 90.00°
Sites, in units of the cell vectors:
K 0.000 0.000 0.000
Tl 0.500 0.500 0.000
Cd 0.000 0.500 0.500
Cd 0.500 0.000 0.500
Pd 0.500 0.500 0.500

---

Here is Tb3Pu after structural relaxation from Alexandria. Energies are from PBE.

size of the total moment = 1.69 μB per atom
formation energy from the elements = 0.1197 eV/atom
space-group type = No. 139
excess energy over the best structure of this formula in the dataset = 0.025 eV/atom

a = 6.103 Å, b = 6.103 Å, c = 6.103 Å
α = 132.19°, β = 132.19°, γ = 69.92°
Sites, in units of the cell vectors:
Tb 0.000 0.000 0.000
Tb 0.250 0.750 0.500
Tb 0.750 0.250 0.500
Pu 0.500 0.500 0.000

---

Here is Th2CoSi4Pt3 after structural relaxation from Alexandria. Energies are from PBE.

formation energy from raw total energies = -1.05 eV/atom
size of the total moment = 0.10 μB per atom
space-group type = No. 115

a = 4.214 Å, b = 4.214 Å, c = 9.906 Å
α = 90.00°, β = 90.00°, γ = 90.00°
Sites, in units of the cell vectors:
Th 0.000 0.500 0.244
Th 0.500 0.000 0.756
Co 0.500 0.500 0.000
Si 0.000 0.000 0.500
Si 0.000 0.500 0.873
Si 0.500 0.000 0.127
Si 0.500 0.500 0.500
Pt 0.000 0.000 0.000
Pt 0.000 0.500 0.623
Pt 0.500 0.000 0.377

---

Here is CdReAg after structural relaxation from Alexandria. Energies are from PBE.

size of the total moment = 0.00 μB per atom
formation energy from the elements = 0.4707 eV/atom
space-group type = No. 156
excess energy over the best structure of this formula in the dataset = 0.000 eV/atom

a = 2.839 Å, b = 2.839 Å, c = 7.370 Å
α = 90.00°, β = 90.00°, γ = 120.00°
Sites, in units of the cell vectors:
Cd 0.000 0.000 0.000
Re 0.667 0.333 0.335
Ag 0.333 0.667 0.658

---

Here is ScCdNi after structural relaxation from Alexandria. Energies are from PBE.

size of the total moment = 0.00 μB per atom
formation energy from the elements = -0.4087 eV/atom
space-group type = No. 63

a = 8.757 Å, b = 8.757 Å, c = 3.768 Å
α = 90.00°, β = 90.00°, γ = 157.69°
Sites, in units of the cell vectors:
Sc 0.088 0.912 0.750
Sc 0.912 0.088 0.250
Cd 0.299 0.701 0.750
Cd 0.701 0.299 0.250
Ni 0.456 0.544 0.750
Ni 0.544 0.456 0.250

---

Here is CoPS2N after structural relaxation from Alexandria. Energies are from PBE.

formation energy from raw total energies = 1.52 eV/atom
size of the total moment = 0.10 μB per atom
space-group type = No. 123
excess energy over the best structure of this formula in the dataset = 1.572 eV/atom

a = 4.284 Å, b = 4.284 Å, c = 4.719 Å
α = 90.00°, β = 90.00°, γ = 90.00°
Sites, in units of the cell vectors:
Co 0.000 0.000 0.000
P 0.000 0.000 0.500
S 0.000 0.500 0.000
S 0.500 0.000 0.000
N 0.500 0.500 0.500

---

Here is ErTcMo after structural relaxation from Alexandria. Energies are from PBE.

size of the total moment = 0.00 μB per atom
formation energy from the elements = -0.0008 eV/atom
space-group type = No. 107
excess energy over the best structure of this formula in the dataset = 0.000 eV/atom

a = 5.826 Å, b = 5.826 Å, c = 5.826 Å
α = 147.94°, β = 147.94°, γ = 45.98°
Sites, in units of the cell vectors:
Er 0.000 0.000 0.000
Tc 0.684 0.684 0.000
Mo 0.310 0.310 0.000

---

Here is BaTaP2Ru after structural relaxation from Alexandria. Energies are from PBE.

size of the total moment = 0.00 μB per atom
formation energy from the elements = -0.8012 eV/atom
space-group type = No. 119

a = 7.277 Å, b = 7.277 Å, c = 7.277 Å
α = 148.21°, β = 148.21°, γ = 45.57°
Sites, in units of the cell vectors:
Ba 0.000 0.000 0.000
Ta 0.750 0.250 0.500
P 0.360 0.360 0.000
P 0.640 0.640 0.000
Ru 0.250 0.750 0.500

---

Here is KIr2Cl after structural relaxation from Alexandria. Energies are from PBE.

formation energy from raw total energies = 0.98 eV/atom
size of the total moment = 0.00 μB per atom
space-group type = No. 65
excess energy over the best structure of this formula in the dataset = 0.929 eV/atom

a = 2.916 Å, b = 2.916 Å, c = 9.955 Å
α = 90.00°, β = 90.00°, γ = 121.91°
Sites, in units of the cell vectors:
K 0.000 0.000 0.000
Ir 0.500 0.500 0.286
Ir 0.500 0.500 0.714
Cl 0.000 0.000 0.500

---

Here is HfRu3Cl after structural relaxation from Alexandria. Energies are from PBE.

formation energy from raw total energies = 0.66 eV/atom
size of the total moment = 0.17 μB per atom
space-group type = No. 221
excess energy over the best structure of this formula in the dataset = 0.000 eV/atom

a = 4.368 Å, b = 4.368 Å, c = 4.368 Å
α = 90.00°, β = 90.00°, γ = 90.00°
Sites, in units of the cell vectors:
Hf 0.000 0.000 0.000
Ru 0.000 0.500 0.500
Ru 0.500 0.000 0.500
Ru 0.500 0.500 0.000
Cl 0.500 0.500 0.500

---

Here is CaNiIr2 after structural relaxation from Alexandria. Energies are from PBE.

size of the total moment = 0.00 μB per atom
formation energy from the elements = 0.0161 eV/atom
space-group type = No. 6
excess energy over the best structure of this formula in the dataset = 0.000 eV/atom

a = 2.804 Å, b = 4.376 Å, c = 5.473 Å
α = 90.00°, β = 104.47°, γ = 90.00°
Sites, in units of the cell vectors:
Ca 0.000 0.000 0.000
Ni 0.393 0.500 0.781
Ir 0.264 0.000 0.513
Ir 0.696 0.500 0.376

---

Here is PaBeAl2Pt4 after structural relaxation from Alexandria. Energies are from PBE.

size of the total moment = 0.00 μB per atom
formation energy from the elements = -0.9725 eV/atom
space-group type = No. 166

a = 8.732 Å, b = 8.732 Å, c = 8.732 Å
α = 28.00°, β = 28.00°, γ = 28.00°
Sites, in units of the cell vectors:
Pa 0.000 0.000 0.000
Be 0.500 0.500 0.500
Al 0.238 0.238 0.238
Al 0.762 0.762 0.762
Pt 0.135 0.135 0.135
Pt 0.402 0.402 0.402
Pt 0.598 0.598 0.598
Pt 0.865 0.865 0.865

---

Here is PrNd4Al4 after structural relaxation from Alexandria. Energies are from PBE.

size of the total moment = 0.00 μB per atom
formation energy from the elements = -0.1369 eV/atom
space-group type = No. 86

a = 8.961 Å, b = 8.961 Å, c = 6.102 Å
α = 90.00°, β = 90.00°, γ = 90.00°
Sites, in units of the cell vectors:
Pr 0.250 0.250 0.250
Pr 0.750 0.750 0.750
Nd 0.080 0.824 0.633
Nd 0.176 0.580 0.133
Nd 0.324 0.920 0.133
Nd 0.420 0.676 0.633
Nd 0.580 0.324 0.367
Nd 0.676 0.080 0.867
Nd 0.824 0.420 0.867
Nd 0.920 0.176 0.367
Al 0.060 0.159 0.843
Al 0.159 0.440 0.657
Al 0.341 0.060 0.657
Al 0.440 0.341 0.843
Al 0.560 0.659 0.157
Al 0.659 0.940 0.343
Al 0.841 0.560 0.343
Al 0.940 0.841 0.157

---

Here is Zn3CuH after structural relaxation from Alexandria. Energies are from PBE.

size of the total moment = 0.00 μB per atom
total energy = -10.03 eV/f.u.
space-group type = No. 221

a = 3.926 Å, b = 3.926 Å, c = 3.926 Å
α = 90.00°, β = 90.00°, γ = 90.00°
Sites, in units of the cell vectors:
Zn 0.000 0.000 0.500
Zn 0.000 0.500 0.000
Zn 0.500 0.000 0.000
Cu 0.500 0.500 0.500
H 0.000 0.000 0.000

---

Here is LuZrBeOs after structural relaxation from Alexandria. Energies are from PBE.

size of the total moment = 0.00 μB per atom
formation energy from the elements = -0.2231 eV/atom
space-group type = No. 216

a = 4.662 Å, b = 4.662 Å, c = 4.662 Å
α = 60.00°, β = 60.00°, γ = 60.00°
Sites, in units of the cell vectors:
Lu 0.000 0.000 0.000
Zr 0.500 0.500 0.500
Be 0.750 0.750 0.750
Os 0.250 0.250 0.250

---

Here is Ac2SiPt after structural relaxation from Alexandria. Energies are from PBE.

formation energy from raw total energies = -0.83 eV/atom
size of the total moment = 0.00 μB per atom
space-group type = No. 11

a = 6.005 Å, b = 4.459 Å, c = 8.778 Å
α = 90.00°, β = 105.26°, γ = 90.00°
Sites, in units of the cell vectors:
Ac 0.210 0.250 0.421
Ac 0.280 0.750 0.070
Ac 0.720 0.250 0.930
Ac 0.790 0.750 0.579
Si 0.340 0.750 0.715
Si 0.660 0.250 0.285
Pt 0.170 0.250 0.780
Pt 0.830 0.750 0.220